No. 1
# LuMgZnRh (GGA-PBE, relaxed)
# Formation energy = -2.0 eV per formula unit
data_LuMgZnRh
_chemical_formula_sum 'Lu4 Mg4 Zn4 Rh4'
_space_group_name_H-M_alt 'F -4 3 m'
_space_group_IT_number 216
_space_group_name_Hall 'F -4 2 3'
_cell_length_a 6.625
_cell_length_b 6.625
_cell_length_c 6.625
_cell_angle_alpha 90.00
_cell_angle_beta 90.00
_cell_angle_gamma 90.00
loop_
_atom_site_label
_atom_site_fract_x
_atom_site_fract_y
_atom_site_fract_z
_atom_site_occupancy
Lu1 0.000 0.000 0.000 1
Mg1 0.000 0.000 0.500 1
Zn1 0.250 0.250 0.750 1
Rh1 0.250 0.250 0.250 1

No. 2
# NdScPaO6 (GGA-PBE, relaxed)
# E_form (uncorrected) = -3.13 eV/atom
data_NdScPaO6
_chemical_formula_sum 'Nd1 Sc1 Pa1 O6'
_space_group_name_H-M_alt 'P 3 1 2'
_space_group_IT_number 149
_space_group_name_Hall 'P 3 2'
_cell_length_a 5.7068
_cell_length_b 5.7068
_cell_length_c 4.7211
_cell_angle_alpha 90.00
_cell_angle_beta 90.00
_cell_angle_gamma 120.00
loop_
_atom_site_label
_atom_site_fract_x
_atom_site_fract_y
_atom_site_fract_z
_atom_site_occupancy
Nd1 0.0000 0.0000 0.0000 1
Sc1 0.3333 0.6667 0.0000 1
Pa1 0.6667 0.3333 0.5000 1
O1 0.0016 0.3633 0.2422 1

No. 3
# CaNd6Y2 (GGA-PBE, relaxed)
# Formation energy = 0.5 eV per formula unit
data_CaNd6Y2
_chemical_formula_sum 'Ca1 Nd6 Y2'
_space_group_name_H-M_alt 'P -6 m 2'
_space_group_IT_number 187
_space_group_name_Hall 'P -6 2'
_cell_length_a 3.6826
_cell_length_b 3.6826
_cell_length_c 27.4909
_cell_angle_alpha 90.00
_cell_angle_beta 90.00
_cell_angle_gamma 120.00
loop_
_atom_site_label
_atom_site_fract_x
_atom_site_fract_y
_atom_site_fract_z
_atom_site_occupancy
Ca1 0.0000 0.0000 0.0000 1
Nd1 0.0000 0.0000 0.2232 1
Nd2 0.0000 0.0000 0.4345 1
Nd3 0.6667 0.3333 0.1168 1
Y1 0.6667 0.3333 0.3316 1

No. 4
# CeSm3Y4S8 (GGA-PBE, relaxed)
# E_form (uncorrected) = -2.02 eV/atom
data_CeSm3Y4S8
_chemical_formula_sum 'Ce3 Sm9 Y12 S24'
_space_group_name_H-M_alt 'R -3 m'
_space_group_IT_number 166
_space_group_name_Hall '-R 3 2"'
_cell_length_a 7.9087
_cell_length_b 7.9087
_cell_length_c 19.5273
_cell_angle_alpha 90.00
_cell_angle_beta 90.00
_cell_angle_gamma 120.00
loop_
_atom_site_label
_atom_site_fract_x
_atom_site_fract_y
_atom_site_fract_z
_atom_site_occupancy
Ce1 0.0000 0.0000 0.0000 1
Sm1 0.0000 0.5000 0.0000 1
Y1 0.0000 0.0000 0.5000 1
Y2 0.0000 0.5000 0.5000 1
S1 0.0000 0.0000 0.2470 1
S2 0.9999 0.4999 0.2471 1

No. 5
# PrEr2Tm3Se6 (GGA-PBE, relaxed)
# E_form (uncorrected) = -1.70 eV/atom
data_PrEr2Tm3Se6
_chemical_formula_sum 'Pr2 Er4 Tm6 Se12'
_space_group_name_H-M_alt 'C 1 2/m 1'
_space_group_IT_number 12
_space_group_name_Hall '-C 2y'
_cell_length_a 7.006
_cell_length_b 12.190
_cell_length_c 7.073
_cell_angle_alpha 90.00
_cell_angle_beta 109.28
_cell_angle_gamma 90.00
loop_
_atom_site_label
_atom_site_fract_x
_atom_site_fract_y
_atom_site_fract_z
_atom_site_occupancy
Pr1 0.000 0.000 0.000 1
Er1 0.000 0.335 0.000 1
Tm1 0.000 0.157 0.500 1
Tm2 0.000 0.500 0.500 1
Se1 0.238 0.500 0.254 1
Se2 0.240 0.326 0.739 1

No. 6
# YI2N2 (GGA-PBE, relaxed)
# Energy above the most stable polymorph in this dataset = 0.4005 eV/atom
# E_form (uncorrected) = 1.13 eV/atom
data_YI2N2
_chemical_formula_sum 'Y1 I2 N2'
_space_group_name_H-M_alt 'P 4/m m m'
_space_group_IT_number 123
_space_group_name_Hall '-P 4 2'
_cell_length_a 4.618
_cell_length_b 4.618
_cell_length_c 4.642
_cell_angle_alpha 90.00
_cell_angle_beta 90.00
_cell_angle_gamma 90.00
loop_
_atom_site_label
_atom_site_fract_x
_atom_site_fract_y
_atom_site_fract_z
_atom_site_occupancy
Y1 0.000 0.000 0.000 1
I1 0.000 0.500 0.500 1
N1 0.500 0.500 0.000 1
N2 0.500 0.500 0.500 1

No. 7
# RbPuMn2Cl8 (GGA-PBE, relaxed)
# E_form (uncorrected) = -1.46 eV/atom
data_RbPuMn2Cl8
_chemical_formula_sum 'Rb3 Pu3 Mn6 Cl24'
_space_group_name_H-M_alt 'R 3 2'
_space_group_IT_number 155
_space_group_name_Hall 'R 3 2"'
_cell_length_a 6.5209
_cell_length_b 6.5209
_cell_length_c 30.8818
_cell_angle_alpha 90.00
_cell_angle_beta 90.00
_cell_angle_gamma 120.00
loop_
_atom_site_label
_atom_site_fract_x
_atom_site_fract_y
_atom_site_fract_z
_atom_site_occupancy
Rb1 0.0000 0.0000 0.0000 1
Pu1 0.0000 0.0000 0.5000 1
Mn1 0.0000 0.0000 0.2497 1
Cl1 0.0000 0.0000 0.3230 1
Cl2 0.0019 0.3429 0.2233 1

No. 8
# BaZrP2O (GGA-PBE, relaxed)
# Energy above the most stable polymorph in this dataset = 1.8994 eV/atom
# E_form (uncorrected) = 0.68 eV/atom
data_BaZrP2O
_chemical_formula_sum 'Ba1 Zr1 P2 O1'
_space_group_name_H-M_alt 'P 4/m m m'
_space_group_IT_number 123
_space_group_name_Hall '-P 4 2'
_cell_length_a 5.476
_cell_length_b 5.476
_cell_length_c 4.233
_cell_angle_alpha 90.00
_cell_angle_beta 90.00
_cell_angle_gamma 90.00
loop_
_atom_site_label
_atom_site_fract_x
_atom_site_fract_y
_atom_site_fract_z
_atom_site_occupancy
Ba1 0.000 0.000 0.000 1
Zr1 0.500 0.500 0.500 1
P1 0.000 0.500 0.000 1
O1 0.000 0.000 0.500 1